(1)
Crystalline CrB3Os at its relaxed geometry, computed with PBE.

abc: 3.7219 3.7219 3.7219
angles: 90.00 90.00 90.00
Fractional coordinates of all 5 atoms:
Cr1 0.0000 0.0000 0.0000
B1 0.0000 0.0000 0.5000
B2 0.0000 0.5000 0.0000
B3 0.5000 0.0000 0.0000
Os1 0.5000 0.5000 0.5000

ΔE_f: 32.928 kcal/mol of atoms
Offset from the most stable computed form: 48 meV/atom


(2)
Crystalline CrBOs at its relaxed geometry, computed with PBE.

abc: 4.9722 4.9722 5.8436
angles: 90.00 90.00 90.00
Fractional coordinates of all 12 atoms:
Cr1 0.2113 0.2113 0.0000
Cr2 0.2887 0.7113 0.2500
Cr3 0.7113 0.2887 0.7500
Cr4 0.7887 0.7887 0.5000
B1 0.0018 0.9982 0.7500
B2 0.4982 0.4982 0.5000
B3 0.5018 0.5018 0.0000
B4 0.9982 0.0018 0.2500
Os1 0.2027 0.2027 0.5000
Os2 0.2973 0.7027 0.7500
Os3 0.7027 0.2973 0.2500
Os4 0.7973 0.7973 0.0000

ΔE_f: 5.198 kcal/mol of atoms
Offset from the most stable computed form: 436 meV/atom


(3)
Crystalline CrBOs at its relaxed geometry, computed with PBE.

abc: 5.3964 4.5106 4.2690
angles: 75.80 54.13 50.08
Fractional coordinates of all 6 atoms:
Cr1 0.1627 0.8373 0.1627
Cr2 0.8373 0.1627 0.8373
B1 0.2500 0.2500 0.2500
B2 0.7500 0.7500 0.7500
Os1 0.3425 0.3425 0.6575
Os2 0.6575 0.6575 0.3425

ΔE_f: -4.848 kcal/mol of atoms
Offset from the most stable computed form: 0 meV/atom


(4)
Crystalline Cr2BOs at its relaxed geometry, computed with PBE.

abc: 5.1710 5.1710 5.1710
angles: 99.68 99.68 131.58
Fractional coordinates of all 8 atoms:
Cr1 0.0300 0.1250 0.4050
Cr2 0.3750 0.9700 0.0950
Cr3 0.7200 0.6250 0.5950
Cr4 0.8750 0.2800 0.9050
B1 0.0000 0.0000 0.0000
B2 0.7500 0.2500 0.5000
Os1 0.2500 0.7500 0.5000
Os2 0.5000 0.5000 0.0000

ΔE_f: 7.221 kcal/mol of atoms


(5)
Crystalline CrB3Os at its relaxed geometry, computed with PBE.

abc: 3.9950 3.9950 3.9950
angles: 90.00 90.00 90.00
Fractional coordinates of all 5 atoms:
Cr1 0.0000 0.0000 0.0000
B1 0.0000 0.5000 0.5000
B2 0.5000 0.0000 0.5000
B3 0.5000 0.5000 0.0000
Os1 0.5000 0.5000 0.5000

ΔE_f: 31.818 kcal/mol of atoms
Offset from the most stable computed form: 0 meV/atom


(6)
Crystalline CrBOs2 at its relaxed geometry, computed with PBE.

abc: 6.1678 6.1678 6.1678
angles: 132.27 132.27 69.80
Fractional coordinates of all 8 atoms:
Cr1 0.0000 0.0000 0.0000
Cr2 0.7500 0.2500 0.5000
B1 0.2500 0.7500 0.5000
B2 0.5000 0.5000 0.0000
Os1 0.1737 0.6250 0.0487
Os2 0.3750 0.4237 0.5487
Os3 0.5763 0.1250 0.9513
Os4 0.8750 0.8263 0.4513

ΔE_f: 21.013 kcal/mol of atoms


(7)
Crystalline CrB2Os at its relaxed geometry, computed with PBE.

abc: 5.8540 5.8540 5.8540
angles: 134.46 134.46 66.37
Fractional coordinates of all 8 atoms:
Cr1 0.0000 0.0000 0.0000
Cr2 0.7500 0.2500 0.5000
B1 0.1278 0.6250 0.0028
B2 0.3750 0.3778 0.5028
B3 0.6222 0.1250 0.9972
B4 0.8750 0.8722 0.4972
Os1 0.2500 0.7500 0.5000
Os2 0.5000 0.5000 0.0000

ΔE_f: 19.651 kcal/mol of atoms
Offset from the most stable computed form: 658 meV/atom


(8)
Crystalline CrB2Os at its relaxed geometry, computed with PBE.

abc: 3.7595 3.7595 3.7595
angles: 60.00 60.00 60.00
Fractional coordinates of all 4 atoms:
Cr1 0.0000 0.0000 0.0000
B1 0.2500 0.2500 0.2500
B2 0.7500 0.7500 0.7500
Os1 0.5000 0.5000 0.5000

ΔE_f: 4.487 kcal/mol of atoms
Offset from the most stable computed form: 0 meV/atom


(9)
Crystalline Cr2B3Os at its relaxed geometry, computed with PBE.

abc: 4.2498 2.9233 17.3504
angles: 90.00 90.34 90.00
Fractional coordinates of all 24 atoms:
Cr1 0.0000 0.0000 0.0000
Cr2 0.0023 0.0000 0.6719
Cr3 0.2588 0.0000 0.5010
Cr4 0.2620 0.0000 0.1558
Cr5 0.2686 0.0000 0.8267
Cr6 0.4883 0.5000 0.0417
Cr7 0.4934 0.5000 0.7118
Cr8 0.9834 0.0000 0.3298
B1 0.2492 0.5000 0.2566
B2 0.2632 0.5000 0.9255
B3 0.2643 0.5000 0.5968
B4 0.4697 0.0000 0.2780
B5 0.4779 0.0000 0.9488
B6 0.4785 0.0000 0.6196
B7 0.7659 0.0000 0.1087
B8 0.7694 0.0000 0.7806
B9 0.7702 0.0000 0.4493
B10 0.9887 0.5000 0.4275
B11 0.9904 0.5000 0.0889
B12 0.9944 0.5000 0.7605
Os1 0.4792 0.5000 0.3781
Os2 0.7579 0.5000 0.2056
Os3 0.7682 0.5000 0.8787
Os4 0.7706 0.5000 0.5512

ΔE_f: -7.064 kcal/mol of atoms


(10)
Crystalline CrBOsPt2 at its relaxed geometry, computed with PBE.

abc: 4.8770 4.8770 4.5434
angles: 90.00 90.00 90.00
Fractional coordinates of all 5 atoms:
Cr1 0.0000 0.0000 0.0000
B1 0.5000 0.5000 0.0000
Os1 0.0000 0.0000 0.5000
Pt1 0.0000 0.5000 0.5000
Pt2 0.5000 0.0000 0.5000

ΔE_f: 46.494 kcal/mol of atoms


(11)
Crystalline CrReBOs2 at its relaxed geometry, computed with PBE.

abc: 4.6964 4.6964 4.6808
angles: 90.00 90.00 90.00
Fractional coordinates of all 5 atoms:
Cr1 0.0000 0.0000 0.0000
Re1 0.0000 0.0000 0.5000
B1 0.5000 0.5000 0.0000
Os1 0.0000 0.5000 0.5000
Os2 0.5000 0.0000 0.5000

ΔE_f: 62.886 kcal/mol of atoms


(12)
Crystalline CrB2OsS at its relaxed geometry, computed with PBE.

abc: 3.9325 3.9325 5.0152
angles: 90.00 90.00 90.00
Fractional coordinates of all 5 atoms:
Cr1 0.0000 0.0000 0.0000
B1 0.0000 0.5000 0.5000
B2 0.5000 0.0000 0.5000
Os1 0.5000 0.5000 0.5000
S1 0.5000 0.5000 0.0000

E_form (uncorrected): 1.39 eV/atom


(13)
Crystalline VCrB2Os at its relaxed geometry, computed with PBE.

abc: 4.0005 4.0005 4.6391
angles: 90.00 90.00 90.00
Fractional coordinates of all 5 atoms:
V1 0.0000 0.0000 0.0000
Cr1 0.5000 0.5000 0.0000
B1 0.0000 0.5000 0.5000
B2 0.5000 0.0000 0.5000
Os1 0.5000 0.5000 0.5000

ΔE_f: 29.668 kcal/mol of atoms


(14)
Crystalline Cr2BP at its relaxed geometry, computed with PBE.

abc: 3.8472 3.8472 3.8472
angles: 60.00 60.00 60.00
Fractional coordinates of all 4 atoms:
Cr1 0.2500 0.2500 0.2500
Cr2 0.7500 0.7500 0.7500
B1 0.0000 0.0000 0.0000
P1 0.5000 0.5000 0.5000

ΔE_f: 1.951 kcal/mol of atoms
Offset from the most stable computed form: 344 meV/atom


(15)
Crystalline CrBP at its relaxed geometry, computed with PBE.

abc: 8.2326 8.2326 2.9133
angles: 90.00 90.00 159.47
Fractional coordinates of all 6 atoms:
Cr1 0.0719 0.9281 0.7500
Cr2 0.9281 0.0719 0.2500
B1 0.4714 0.5286 0.7500
B2 0.5286 0.4714 0.2500
P1 0.3416 0.6584 0.7500
P2 0.6584 0.3416 0.2500

ΔE_f: -4.981 kcal/mol of atoms
Offset from the most stable computed form: 0 meV/atom


(16)
Crystalline Cr2BP at its relaxed geometry, computed with PBE.

abc: 4.2282 3.4260 5.9296
angles: 90.00 110.60 90.00
Fractional coordinates of all 8 atoms:
Cr1 0.2162 0.2500 0.4368
Cr2 0.2265 0.2500 0.9248
Cr3 0.7735 0.7500 0.0752
Cr4 0.7838 0.7500 0.5632
B1 0.3357 0.7500 0.7081
B2 0.6643 0.2500 0.2919
P1 0.3407 0.7500 0.2120
P2 0.6593 0.2500 0.7880

ΔE_f: -5.990 kcal/mol of atoms
Offset from the most stable computed form: 0 meV/atom


(17)
Crystalline CrBP at its relaxed geometry, computed with PBE.

abc: 2.8500 2.3126 11.9389
angles: 90.00 90.07 90.00
Fractional coordinates of all 6 atoms:
Cr1 0.2504 0.2500 0.0806
Cr2 0.7496 0.7500 0.9194
B1 0.2483 0.2500 0.6327
B2 0.7517 0.7500 0.3673
P1 0.2490 0.2500 0.7960
P2 0.7510 0.7500 0.2040

ΔE_f: 21.241 kcal/mol of atoms
Offset from the most stable computed form: 1137 meV/atom


(18)
Crystalline Cr2BP at its relaxed geometry, computed with PBE.

abc: 4.9738 4.9738 4.9738
angles: 101.25 101.25 127.58
Fractional coordinates of all 8 atoms:
Cr1 0.0479 0.1250 0.4229
Cr2 0.3750 0.9521 0.0771
Cr3 0.7021 0.6250 0.5771
Cr4 0.8750 0.2979 0.9229
B1 0.0000 0.0000 0.0000
B2 0.7500 0.2500 0.5000
P1 0.2500 0.7500 0.5000
P2 0.5000 0.5000 0.0000

ΔE_f: 4.450 kcal/mol of atoms
Offset from the most stable computed form: 453 meV/atom


(19)
Crystalline Cr12BP3 at its relaxed geometry, computed with PBE.

abc: 4.4519 6.6689 6.7397
angles: 85.66 71.02 71.14
Fractional coordinates of all 16 atoms:
Cr1 0.0000 0.0000 0.0000
Cr2 0.0004 0.2449 0.2944
Cr3 0.0462 0.2333 0.6717
Cr4 0.0761 0.6088 0.7478
Cr5 0.1601 0.8179 0.3834
Cr6 0.3496 0.4602 0.3282
Cr7 0.3700 0.2964 0.9662
Cr8 0.4193 0.6784 0.9461
Cr9 0.5650 0.0195 0.4049
Cr10 0.6685 0.9605 0.7234
Cr11 0.6914 0.6216 0.5293
Cr12 0.8519 0.6543 0.1757
B1 0.2382 0.8861 0.6757
P1 0.4771 0.9606 0.0970
P2 0.5481 0.3095 0.6008
P3 0.8046 0.3796 0.0114

ΔE_f: -7.442 kcal/mol of atoms


(20)
Crystalline CrBP2 at its relaxed geometry, computed with PBE.

abc: 5.6933 5.6933 5.6933
angles: 124.79 124.79 81.88
Fractional coordinates of all 8 atoms:
Cr1 0.0000 0.0000 0.0000
Cr2 0.7500 0.2500 0.5000
B1 0.2500 0.7500 0.5000
B2 0.5000 0.5000 0.0000
P1 0.1857 0.6250 0.0607
P2 0.3750 0.4357 0.5607
P3 0.5643 0.1250 0.9393
P4 0.8750 0.8143 0.4393

ΔE_f: -0.086 kcal/mol of atoms